Entry 1:
A geometry-optimized IrC structure. Source: Alexandria, functional PBE.

Summary:
The excess energy over the best structure of this formula in the dataset comes out at 409 meV per atom. For the formation energy from the elements, the calculation gives 1.73 eV per formula unit. Its space group is R-3m (166).

a = 3.342 Å, b = 3.342 Å, c = 16.212 Å
α = 90.00°, β = 90.00°, γ = 120.00°
Positions (direct):
Ir (0.000, 0.000, 0.084)
Ir (0.000, 0.000, 0.916)
Ir (0.333, 0.667, 0.583)
Ir (0.333, 0.667, 0.751)
Ir (0.667, 0.333, 0.249)
Ir (0.667, 0.333, 0.417)
C (0.000, 0.000, 0.227)
C (0.000, 0.000, 0.773)
C (0.333, 0.667, 0.439)
C (0.333, 0.667, 0.894)
C (0.667, 0.333, 0.106)
C (0.667, 0.333, 0.561)

Entry 2:
A geometry-optimized CdTe2Pt2 structure. Source: Alexandria, functional PBE.

Summary:
The excess energy over the best structure of this formula in the dataset comes out at 64 meV per atom. Its space group is I4/mmm (139).

a = 3.941 Å, b = 3.941 Å, c = 15.482 Å
α = 90.00°, β = 90.00°, γ = 90.00°
Positions (direct):
Cd (0.000, 0.000, 0.000)
Cd (0.500, 0.500, 0.500)
Te (0.000, 0.000, 0.374)
Te (0.000, 0.000, 0.626)
Te (0.500, 0.500, 0.126)
Te (0.500, 0.500, 0.874)
Pt (0.000, 0.500, 0.250)
Pt (0.000, 0.500, 0.750)
Pt (0.500, 0.000, 0.250)
Pt (0.500, 0.000, 0.750)